Entry from the Alexandria database: a geometry-optimized Nd3SmMg3 structure (PBE-GGA).

Properties
- calculated formation energy (eV/atom) = 0.08
- D(E_F) (states/eV/cell) = 18.5
- E_tot (Ry/atom) = -0.24433
- crystal system = monoclinic

```
14
Lattice="6.539 0.295 0.184 -2.649 5.986 0.184 -0.440 -0.711 10.835" Properties=species:S:1:pos:R:3 pbc="T T T"
Mg 3.117 0.065 2.797
Nd -0.568 4.696 0.184
Nd 1.525 2.463 7.399
Mg 3.555 5.740 8.596
Mg 4.780 2.750 8.405
Mg -1.330 2.820 2.797
Mg -0.105 -0.170 2.607
Nd 4.458 1.584 0.184
Mg 0.333 5.505 8.405
Sm 2.331 3.764 10.997
Nd 4.718 0.931 5.601
Sm 1.119 1.806 0.206
Nd 1.924 3.107 3.804
Nd -1.268 4.638 5.601
```

***

Entry from the Alexandria database: a geometry-optimized Nd5Sm4Mg2 structure (PBE-GGA).

Properties
- calculated formation energy (eV/atom) = 0.07
- D(E_F) (states/eV/cell) = 15.7
- E_tot (Ry/atom) = -0.30182
- excess energy over the best structure of this formula in the dataset (kJ/mol of formula units) = 15.5
- crystal system = monoclinic

```
11
Lattice="3.516 0.000 0.000 0.000 8.851 0.004 0.000 -0.845 11.591" Properties=species:S:1:pos:R:3 pbc="T T T"
Nd 0.000 6.345 9.657
Nd 0.000 4.425 0.002
Sm 1.758 0.569 10.257
Sm 1.758 5.914 6.359
Nd 0.000 4.779 3.441
Nd 0.000 3.226 8.154
Sm 1.758 7.436 1.338
Nd 0.000 1.661 1.938
Sm 1.758 2.091 5.236
Mg 0.000 -0.060 7.319
Mg 0.000 8.065 4.276
```

***

Entry from the Alexandria database: a geometry-optimized Nd4Sm2Mg structure (PBE-GGA).

Properties
- calculated formation energy (eV/atom) = 0.51
- D(E_F) (states/eV/cell) = 10.7
- E_tot (Ry/atom) = -0.27889
- excess energy over the best structure of this formula in the dataset (kJ/mol of formula units) = 226.7
- crystal system = tetragonal

```
7
Lattice="-2.287 0.090 -4.171 4.137 -0.568 -2.281 -1.309 -11.441 0.472" Properties=species:S:1:pos:R:3 pbc="T T T"
Nd 1.062 -3.051 -4.670
Nd 1.472 -9.142 -2.409
Sm 1.414 -6.004 -0.904
Sm -1.798 -5.676 -1.849
Nd 0.170 -2.821 -1.560
Nd -1.624 -8.825 -3.320
Mg 0.000 0.000 0.000
```

***

Entry from the Alexandria database: a geometry-optimized Nd5Sm6Mg structure (PBE-GGA).

Properties
- calculated formation energy (eV/atom) = 0.02
- D(E_F) (states/eV/cell) = 17.4
- E_tot (Ry/atom) = -0.32775
- crystal system = monoclinic

```
12
Lattice="5.173 0.000 3.556 2.587 5.428 1.778 1.940 0.000 15.671" Properties=species:S:1:pos:R:3 pbc="T T T"
Sm 4.369 1.794 6.555
Nd 6.143 1.803 11.391
Sm 5.331 3.635 14.450
Sm 5.319 0.000 14.426
Nd 3.557 0.000 9.613
Sm 1.794 0.000 4.800
Nd 3.557 3.625 9.613
Sm 6.956 3.635 8.333
Nd 5.173 3.627 3.556
Mg 0.000 0.000 0.000
Nd 2.587 1.802 1.778
Sm 2.744 1.794 12.672
```

***

Q: Look up the calculated formation energy of the second one.
A: 0.07 eV/atom

***

Q: Which of these has the lowest calculated formation energy?
A: Nd5Sm6Mg